Below is crystalline PuCuTcRh at its relaxed geometry, with properties calculated at the GGA-PBE level.

Lattice parameters (Å, degrees): 6.364 6.364 6.364 90.00 90.00 90.00
Sites, in units of the cell vectors:
Pu1 0.000 0.000 0.000
Pu2 0.000 0.500 0.500
Pu3 0.500 0.000 0.500
Pu4 0.500 0.500 0.000
Cu1 0.000 0.000 0.500
Cu2 0.000 0.500 0.000
Cu3 0.500 0.000 0.000
Cu4 0.500 0.500 0.500
Tc1 0.250 0.250 0.250
Tc2 0.250 0.750 0.750
Tc3 0.750 0.250 0.750
Tc4 0.750 0.750 0.250
Rh1 0.250 0.250 0.750
Rh2 0.250 0.750 0.250
Rh3 0.750 0.250 0.250
Rh4 0.750 0.750 0.750

Summary:
The energy of formation from the pure elements is -0.273 eV/f.u. The density of states at the Fermi level is 5.122 states/eV/f.u. The value obtained for the calculated volume is 257.7 Å³ per cell. Its space group is F-43m.